[1]
The following is a PBE calculation of a relaxed structure of Li4Tb3MnS8, from Alexandria via LeMat-Bulk.

SG   R-3m (166)
Theoretical density   4.32 g/cm3
Total moment   4.00 Bohr magnetons per cell
Formation energy from raw total energies   -24.89 eV per formula unit
Volume   313.7 Å³ per cell

a = 7.6757 Å, b = 7.5786 Å, c = 7.6766 Å
α = 120.43°, β = 120.00°, γ = 90.00°
With the nearest neighbours (Å) after each atom.
Element x y z (fractional)
Tb (0.5000, 0.5000, 0.0000)  6 S 2.71-2.74
Tb (0.0000, 0.5000, 0.5000)  6 S 2.71-2.74
Tb (0.5000, 0.5000, 0.5000)  6 S 2.71-2.74
S (0.2300, 0.2554, 0.9927)  1 Mn 2.56, 3 Li 2.66-2.84, 2 Tb 2.74
S (0.2373, 0.7446, 0.0073)  1 Mn 2.56, 3 Li 2.66-2.84, 2 Tb 2.74
S (0.7627, 0.2554, 0.9927)  1 Mn 2.56, 3 Li 2.66-2.84, 2 Tb 2.74
S (0.7621, 0.2549, 0.5242)  1 Mn 2.57, 3 Li 2.66-2.83, 2 Tb 2.74
S (0.2484, 0.2452, 0.4968)  3 Li 2.68, 3 Tb 2.71
S (0.7700, 0.7446, 0.0073)  1 Mn 2.56, 3 Li 2.66-2.84, 2 Tb 2.74
S (0.7516, 0.7548, 0.5032)  3 Li 2.68, 3 Tb 2.71
S (0.2379, 0.7451, 0.4758)  1 Mn 2.57, 3 Li 2.66-2.83, 2 Tb 2.74
Li (0.0000, 0.0000, 0.5000)  6 S 2.66-2.68
Li (0.0000, 0.0000, 0.0000)  6 S 2.66-2.68
Li (0.5000, 0.0000, 0.0000)  6 S 2.83-2.84
Li (0.5000, 0.0000, 0.5000)  6 S 2.66-2.68
Mn (0.0000, 0.5000, 0.0000)  6 S 2.56-2.57

[2]
The following is a PBE calculation of a relaxed structure of KPuZnF6, from Alexandria via LeMat-Bulk.

SG   P-31c (163)
Theoretical density   4.70 g/cm3
Total moment   10.00 Bohr magnetons per cell
Formation energy from raw total energies   -26.75 eV per formula unit
Volume   326.9 Å³ per cell

a = 5.9673 Å, b = 5.9673 Å, c = 10.5991 Å
α = 90.00°, β = 90.00°, γ = 120.00°
With the nearest neighbours (Å) after each atom.
Element x y z (fractional)
Zn (0.3333, 0.6667, 0.7500)  6 F 2.08
Zn (0.6667, 0.3333, 0.2500)  6 F 2.08
F (0.3580, 0.3853, 0.8553)  1 Zn 2.08, 1 Pu 2.30
F (0.3853, 0.3580, 0.3553)  1 Zn 2.08, 1 Pu 2.30
F (0.0274, 0.3853, 0.6447)  1 Zn 2.08, 1 Pu 2.30
F (0.3580, 0.9727, 0.6447)  1 Zn 2.08, 1 Pu 2.30
F (0.6147, 0.9727, 0.8553)  1 Zn 2.08, 1 Pu 2.30
F (0.6420, 0.6147, 0.1447)  1 Zn 2.08, 1 Pu 2.30
F (0.9726, 0.6147, 0.3553)  1 Zn 2.08, 1 Pu 2.30
F (0.3853, 0.0273, 0.1447)  1 Zn 2.08, 1 Pu 2.30
F (0.9726, 0.3580, 0.1447)  1 Zn 2.08, 1 Pu 2.30
F (0.0274, 0.6420, 0.8553)  1 Zn 2.08, 1 Pu 2.30
F (0.6147, 0.6420, 0.6447)  1 Zn 2.08, 1 Pu 2.30
F (0.6420, 0.0273, 0.3553)  1 Zn 2.08, 1 Pu 2.30
K (0.0000, 0.0000, 0.0000)  6 F 2.70
K (0.0000, 0.0000, 0.5000)  6 F 2.70
Pu (0.3333, 0.6667, 0.2500)  6 F 2.30
Pu (0.6667, 0.3333, 0.7500)  6 F 2.30

[3]
The following is a PBE calculation of a relaxed structure of Nd7Y, from Alexandria via LeMat-Bulk.

ΔH_f (0 K)   0.6 kJ/mol of atoms
SG   Fm-3m (225)
Theoretical density   6.54 g/cm3
Total moment   0.00 Bohr magnetons per cell
Volume   278.9 Å³ per cell

a = 7.3334 Å, b = 7.3334 Å, c = 7.3334 Å
α = 60.00°, β = 60.00°, γ = 60.00°
With the nearest neighbours (Å) after each atom.
Element x y z (fractional)
Nd (0.0000, 0.0000, 0.5000)  10 Nd 3.67, 2 Y 3.67
Nd (0.0000, 0.5000, 0.0000)  10 Nd 3.67, 2 Y 3.67
Nd (0.5000, 0.0000, 0.0000)  10 Nd 3.67, 2 Y 3.67
Nd (0.5000, 0.5000, 0.5000)  12 Nd 3.67
Nd (0.0000, 0.5000, 0.5000)  10 Nd 3.67, 2 Y 3.67
Nd (0.5000, 0.0000, 0.5000)  10 Nd 3.67, 2 Y 3.67
Nd (0.5000, 0.5000, 0.0000)  10 Nd 3.67, 2 Y 3.67
Y (0.0000, 0.0000, 0.0000)  12 Nd 3.67